A relaxed Li4Fe5SbO12 crystal. Source: the Alexandria database, functional GGA+U.

## Properties
Spin magnetization in μB/f.u.: 9.0
Total DFT energy (no corrections) in Ry/atom: -0.4373
Symmetry: C2/m (12)

Unit cell a=5.164 b=5.164 c=10.450 alpha=86.16 beta=86.16 gamma=119.89
Each line ends with the local moment (μB).
Positions (direct):
Fe1 0.665 0.335 0.000  1.12
O1 0.974 0.633 0.098  -0.04
Fe2 0.500 0.500 0.500  -1.16
O2 0.843 0.843 0.395  -0.14
O3 0.157 0.157 0.605  -0.14
O4 0.539 0.201 0.395  -0.17
Fe3 0.335 0.665 0.000  1.12
O5 0.633 0.974 0.098  -0.04
Li1 0.888 0.550 0.290  -0.01
Li2 0.550 0.888 0.290  -0.01
O6 0.201 0.539 0.395  -0.17
O7 0.686 0.686 0.906  -0.04
Fe4 0.163 0.837 0.500  -4.32
O8 0.367 0.026 0.902  -0.04
Sb1 0.000 0.000 0.000  0.01
O9 0.026 0.367 0.902  -0.04
Li3 0.450 0.112 0.710  -0.01
O10 0.799 0.461 0.605  -0.17
O11 0.461 0.799 0.605  -0.17
O12 0.314 0.314 0.094  -0.04
Fe5 0.837 0.163 0.500  -4.32
Li4 0.112 0.450 0.710  -0.01